DyZrHg2Au4 | PBE | optimized geometry

a = 4.8675 Å, b = 4.8675 Å, c = 6.8428 Å
α = 90.00°, β = 90.00°, γ = 90.00°
Positions (direct):
Dy 0.0000 0.0000 0.0000
Zr 0.5000 0.5000 0.5000
Hg 0.0000 0.0000 0.5000
Hg 0.5000 0.5000 0.0000
Au 0.0000 0.5000 0.2601
Au 0.0000 0.5000 0.7399
Au 0.5000 0.0000 0.2601
Au 0.5000 0.0000 0.7399

Computed properties:
Calculated total energy = -3.817 eV/atom

---

DyHoAu6 | PBE | optimized geometry

a = 5.0328 Å, b = 6.1571 Å, c = 5.1321 Å
α = 90.00°, β = 90.00°, γ = 90.00°
Positions (direct):
Dy 0.0000 0.0000 0.0000
Ho 0.5000 0.5000 0.6881
Au 0.0000 0.2569 0.5058
Au 0.0000 0.5000 0.0097
Au 0.0000 0.7431 0.5058
Au 0.5000 0.0000 0.6768
Au 0.5000 0.2447 0.1822
Au 0.5000 0.7553 0.1822

Computed properties:
Calculated total energy = -4.324 eV/atom